VASP calculation (GGA-PBE) on a geometry-optimized Be2TlSiBr structure.

Output
The raw formation energy is 1.17 eV per atom.

Lattice parameters (Å, degrees): 4.5359 4.5359 6.1961 90.00 90.00 90.00
Last column: nearest neighbours and their distance in Å.
Space group P4/mmm (No. 123)
Asymmetric unit:
Be1 0.0000 0.5000 0.0000 [2 per cell]  2 Tl 2.27
Tl1 0.0000 0.0000 0.0000 [1 per cell]  4 Be 2.27
Si1 0.5000 0.5000 0.5000 [1 per cell]  4 Br 3.21
Br1 0.0000 0.0000 0.5000 [1 per cell]  2 Tl 3.10, 4 Si 3.21

VASP calculation (GGA-PBE) on a geometry-optimized BeV2SiBr structure.

Output
The raw formation energy is 0.72 eV per atom.

Lattice parameters (Å, degrees): 4.4689 4.4689 3.7768 90.00 90.00 90.00
Last column: nearest neighbours and their distance in Å.
Space group P4/mmm (No. 123)
Asymmetric unit:
Be1 0.0000 0.0000 0.0000 [1 per cell]  2 Si 1.89
V1 0.0000 0.5000 0.0000 [2 per cell]  2 Be 2.23
Si1 0.0000 0.0000 0.5000 [1 per cell]  2 Be 1.89
Br1 0.5000 0.5000 0.5000 [1 per cell]  8 V 2.93, 4 Si 3.16

VASP calculation (GGA-PBE) on a geometry-optimized YBe2SiBr structure.

Output
The raw formation energy is 0.01 eV per atom.

Lattice parameters (Å, degrees): 4.1737 4.1737 5.8164 90.00 90.00 90.00
Last column: nearest neighbours and their distance in Å.
Space group P4/mmm (No. 123)
Asymmetric unit:
Y1 0.0000 0.0000 0.0000 [1 per cell]  2 Si 2.91, 4 Br 2.95
Be1 0.0000 0.5000 0.5000 [2 per cell]  2 Si 2.09
Si1 0.0000 0.0000 0.5000 [1 per cell]  4 Be 2.09
Br1 0.5000 0.5000 0.0000 [1 per cell]  4 Y 2.95

VASP calculation (GGA-PBE) on a geometry-optimized BeZnSiBr2 structure.

Output
The raw formation energy is 0.82 eV per atom.

Lattice parameters (Å, degrees): 5.3846 5.3846 4.3747 90.00 90.00 90.00
Last column: nearest neighbours and their distance in Å.
Space group P4/mmm (No. 123)
Asymmetric unit:
Be1 0.0000 0.0000 0.0000 [1 per cell]  2 Zn 2.19
Zn1 0.0000 0.0000 0.5000 [1 per cell]  2 Be 2.19
Si1 0.5000 0.5000 0.0000 [1 per cell]  8 Br 3.47, 4 Be 3.81
Br1 0.0000 0.5000 0.5000 [2 per cell]  2 Zn 2.69

VASP calculation (GGA-PBE) on a geometry-optimized BeSnBr2 structure.

Output
The raw formation energy is 0.35 eV per atom. The value obtained for the energy relative to the lowest polymorph listed for this composition is 728 meV/atom.

Lattice parameters (Å, degrees): 7.4157 7.4157 7.4157 90.00 90.00 90.00
Last column: nearest neighbours and their distance in Å.
Space group Fm-3m (No. 225)
Asymmetric unit:
Be1 0.0000 0.0000 0.0000 [4 per cell]  8 Br 3.21
Sn1 0.0000 0.0000 0.5000 [4 per cell]  8 Br 3.21
Br1 0.2500 0.2500 0.2500 [8 per cell]  4 Sn 3.21, 4 Be 3.21

VASP calculation (GGA-PBE) on a geometry-optimized BeSnBr2 structure.

Output
The raw formation energy is -0.37 eV per atom. The value obtained for the energy relative to the lowest polymorph listed for this composition is 0 meV/atom.

Lattice parameters (Å, degrees): 3.4079 3.4079 36.3648 90.00 90.00 120.00
Last column: nearest neighbours and their distance in Å.
Space group R-3m (No. 166, hexagonal axes)
Asymmetric unit:
Be1 0.0000 0.0000 0.0000 [3 per cell]  6 Br 2.41
Sn1 0.0000 0.0000 0.5000 [3 per cell]  6 Sn 3.41
Br1 0.0000 0.0000 0.3715 [6 per cell]  3 Be 2.41

VASP calculation (GGA-PBE) on a geometry-optimized BeSn2Br structure.

Output
The raw formation energy is 0.50 eV per atom. The value obtained for the energy relative to the lowest polymorph listed for this composition is 290 meV/atom.

Lattice parameters (Å, degrees): 7.2168 7.2168 7.2168 90.00 90.00 90.00
Last column: nearest neighbours and their distance in Å.
Space group Fm-3m (No. 225)
Asymmetric unit:
Be1 0.0000 0.0000 0.0000 [4 per cell]  8 Sn 3.12
Sn1 0.2500 0.2500 0.2500 [8 per cell]  4 Br 3.12, 4 Be 3.12
Br1 0.0000 0.0000 0.5000 [4 per cell]  8 Sn 3.12

VASP calculation (GGA-PBE) on a geometry-optimized BeSnBr2 structure.

Output
The raw formation energy is -0.03 eV per atom. The value obtained for the energy relative to the lowest polymorph listed for this composition is 341 meV/atom.

Lattice parameters (Å, degrees): 6.9115 6.9115 9.5504 90.00 90.00 90.00
Last column: nearest neighbours and their distance in Å.
Space group I-42d (No. 122)
Asymmetric unit:
Be1 0.0000 0.0000 0.0000 [4 per cell]  4 Br 2.20
Sn1 0.0000 0.0000 0.5000 [4 per cell]  4 Br 3.51
Br1 0.0934 0.2500 0.1250 [8 per cell]  2 Be 2.20

VASP calculation (GGA-PBE) on a geometry-optimized Be2SnBr structure.

Output
The raw formation energy is 0.34 eV per atom. The value obtained for the energy relative to the lowest polymorph listed for this composition is 0 meV/atom.

Lattice parameters (Å, degrees): 5.6486 5.6486 10.9057 90.00 90.00 90.00
Last column: nearest neighbours and their distance in Å.
Space group I-42d (No. 122)
Asymmetric unit:
Be1 0.2414 0.2500 0.1250 [8 per cell]  2 Br 2.39, 2 Sn 2.45
Sn1 0.0000 0.0000 0.5000 [4 per cell]  4 Be 2.45
Br1 0.0000 0.0000 0.0000 [4 per cell]  4 Be 2.39

VASP calculation (GGA-PBE) on a geometry-optimized Be3SnBr structure.

Output
The raw formation energy is 1.25 eV per atom. The value obtained for the energy relative to the lowest polymorph listed for this composition is 352 meV/atom.

Lattice parameters (Å, degrees): 4.4820 4.4820 4.4820 90.00 90.00 90.00
Last column: nearest neighbours and their distance in Å.
Space group Pm-3m (No. 221)
Asymmetric unit:
Be1 0.0000 0.0000 0.5000 [3 per cell]  2 Br 2.24
Sn1 0.5000 0.5000 0.5000 [1 per cell]  12 Be 3.17
Br1 0.0000 0.0000 0.0000 [1 per cell]  6 Be 2.24

VASP calculation (GGA-PBE) on a geometry-optimized BeSn2Br structure.

Output
The raw formation energy is 0.21 eV per atom. The value obtained for the energy relative to the lowest polymorph listed for this composition is 0 meV/atom.

Lattice parameters (Å, degrees): 6.1264 6.1264 12.6185 90.00 90.00 90.00
Last column: nearest neighbours and their distance in Å.
Space group I-42d (No. 122)
Asymmetric unit:
Be1 0.0000 0.0000 0.0000 [4 per cell]  4 Sn 2.37
Sn1 0.1440 0.2500 0.1250 [8 per cell]  2 Be 2.37
Br1 0.0000 0.0000 0.5000 [4 per cell]  4 Sn 3.10

VASP calculation (GGA-PBE) on a geometry-optimized Be3SnBr structure.

Output
The raw formation energy is 0.90 eV per atom. The value obtained for the energy relative to the lowest polymorph listed for this composition is 0 meV/atom.

Lattice parameters (Å, degrees): 4.7916 4.7916 4.7916 90.00 90.00 90.00
Last column: nearest neighbours and their distance in Å.
Space group Pm-3m (No. 221)
Asymmetric unit:
Be1 0.0000 0.0000 0.5000 [3 per cell]  2 Sn 2.40
Sn1 0.0000 0.0000 0.0000 [1 per cell]  6 Be 2.40
Br1 0.5000 0.5000 0.5000 [1 per cell]  12 Be 3.39

VASP calculation (GGA-PBE) on a geometry-optimized BeSn2Br6 structure.

Output
The raw formation energy is -0.80 eV per atom.

Lattice parameters (Å, degrees): 16.7323 9.8854 11.4168 90.00 131.88 90.00
Last column: nearest neighbours and their distance in Å.
Space group C2/c (No. 15)
Asymmetric unit:
Be1 0.0000 0.1169 0.2500 [4 per cell]  4 Br 2.19-2.22
Sn1 0.1071 0.2764 0.7109 [8 per cell]  3 Br 2.71-2.90
Br1 0.1059 0.2480 0.4570 [8 per cell]  1 Be 2.19
Br2 0.1089 0.3032 0.9839 [8 per cell]  1 Sn 2.71
Br3 0.1102 0.0015 0.2422 [8 per cell]  1 Be 2.22

VASP calculation (GGA-PBE) on a geometry-optimized Be2Sn2Br structure.

Output
The raw formation energy is 0.52 eV per atom. The value obtained for the energy relative to the lowest polymorph listed for this composition is 36 meV/atom.

Lattice parameters (Å, degrees): 4.7311 4.7311 9.7005 90.00 90.00 90.00
Last column: nearest neighbours and their distance in Å.
Space group I4/mmm (No. 139)
Asymmetric unit:
Be1 0.0000 0.0000 0.1138 [4 per cell]  1 Be 2.21
Sn1 0.0000 0.5000 0.2500 [4 per cell]  4 Be 2.71
Br1 0.0000 0.0000 0.5000 [2 per cell]  8 Sn 3.39, 10 Be 3.52-3.75

VASP calculation (GGA-PBE) on a geometry-optimized Be2SnBr structure.

Output
The raw formation energy is 0.95 eV per atom. The value obtained for the energy relative to the lowest polymorph listed for this composition is 614 meV/atom.

Lattice parameters (Å, degrees): 6.6382 6.6382 6.6382 90.00 90.00 90.00
Last column: nearest neighbours and their distance in Å.
Space group Fm-3m (No. 225)
Asymmetric unit:
Be1 0.2500 0.2500 0.2500 [8 per cell]  4 Sn 2.87, 4 Br 2.87
Sn1 0.0000 0.0000 0.0000 [4 per cell]  8 Be 2.87
Br1 0.0000 0.0000 0.5000 [4 per cell]  8 Be 2.87